# In2AgPb

Crystalline In2AgPb at its relaxed geometry (PBE-GGA, the Alexandria database).

a b c (Å): 9.798 9.798 9.798
angles (deg): 20.80 20.80 20.80
Sites, in units of the cell vectors:
Pb: 0.250 0.250 0.250
Ag: 0.750 0.750 0.750
In: 0.010 0.010 0.010
In: 0.490 0.490 0.490

SG = R-3m (166)
total DFT energy (no corrections) = -11.83 eV/cell
DOS(E_F) = 2.21 states/eV per cell